MnS2NO GGA+U relaxed; E = -19.42 eV per cell; mass density = 3.98 g/cm3; E above lowest polymorph = 442 meV per atom; magnetization = 0.205 μB/atom
1.0
4.070 0.000 0.000
0.000 4.070 0.000
0.000 0.000 3.757
S Mn O N
2 1 1 1
direct
0.000 0.500 0.000
0.500 0.000 0.000
0.500 0.500 0.500
0.000 0.000 0.000
0.000 0.000 0.500